1.
The following is a GGA-PBE calculation of a geometry-optimized Ac3Tl2Au4 structure, from the Alexandria database.

Values from the calculation:
Energy of formation (eV/atom): -0.61
Uncorrected energy (eV per atom): -3.96

Cell lengths 10.852, 4.830, 9.958 Å; angles 90.00, 91.95, 90.00 degrees
Space group C2/m (No. 12)
One atom of each set of equivalent atoms:
Ac (0.000, 0.000, 0.000)
Ac (0.135, 0.500, 0.626)
Tl (0.166, 0.500, 0.233)
Au (0.070, 0.000, 0.381)
Au (0.188, 0.500, 0.935)

=====

2.
The following is a GGA-PBE calculation of a geometry-optimized In4RhAu structure, from the Alexandria database.

Values from the calculation:
Offset from the most stable computed form (meV per atom): 0.0
Energy of formation (eV/atom): -0.27
Uncorrected energy (eV per atom): -3.87

Cell lengths 4.544, 4.544, 6.675 Å; angles 90.00, 90.00, 90.00 degrees
Space group P4/mmm (No. 123)
One atom of each set of equivalent atoms:
In (0.000, 0.500, 0.236)
Rh (0.000, 0.000, 0.000)
Au (0.500, 0.500, 0.500)

=====

3.
The following is a GGA-PBE calculation of a geometry-optimized YTi3Nb structure, from the Alexandria database.

Values from the calculation:
Offset from the most stable computed form (meV per atom): 953.5
Energy of formation (eV/atom): 1.56
Uncorrected energy (eV per atom): -6.48

Cell lengths 4.725, 4.725, 4.725 Å; angles 90.00, 90.00, 90.00 degrees
Space group Pm-3m (No. 221)
One atom of each set of equivalent atoms:
Y (0.000, 0.000, 0.000)
Ti (0.000, 0.000, 0.500)
Nb (0.500, 0.500, 0.500)

=====

4.
The following is a GGA-PBE calculation of a geometry-optimized Nb3TlPt structure, from the Alexandria database.

Values from the calculation:
Offset from the most stable computed form (meV per atom): 0.0
Energy of formation (eV/atom): 0.92
Uncorrected energy (eV per atom): -6.81

Cell lengths 4.931, 4.931, 4.931 Å; angles 90.00, 90.00, 90.00 degrees
Space group Pm-3m (No. 221)
One atom of each set of equivalent atoms:
Nb (0.000, 0.000, 0.500)
Tl (0.500, 0.500, 0.500)
Pt (0.000, 0.000, 0.000)

=====

5.
The following is a GGA-PBE calculation of a geometry-optimized Ni2H4Pd3 structure, from the Alexandria database.

Values from the calculation:
Uncorrected energy (eV per atom): -4.52

Cell lengths 7.478, 9.349, 4.754 Å; angles 90.00, 107.09, 90.00 degrees
Space group C2/c (No. 15)
One atom of each set of equivalent atoms:
Ni (0.205, 0.132, 0.362)
H (0.107, 0.256, 0.543)
H (0.209, 0.025, 0.058)
Pd (0.000, 0.108, 0.750)
Pd (0.105, 0.374, 0.050)

=====

6.
The following is a GGA-PBE calculation of a geometry-optimized NdHo9Tm2 structure, from the Alexandria database.

Values from the calculation:
Offset from the most stable computed form (meV per atom): 13.4
Energy of formation (eV/atom): 0.04
Uncorrected energy (eV per atom): -4.54

Cell lengths 11.1549, 11.1549, 3.4951 Å; angles 90.00, 90.00, 120.00 degrees
Space group P6/mmm (No. 191)
One atom of each set of equivalent atoms:
Nd (0.0000, 0.0000, 0.0000)
Ho (0.0000, 0.5000, 0.0000)
Ho (0.1788, 0.3576, 0.5000)
Tm (0.3333, 0.6667, 0.0000)

=====

7.
The following is a GGA-PBE calculation of a geometry-optimized ReTcIr structure, from the Alexandria database.

Values from the calculation:
Offset from the most stable computed form (meV per atom): 132.2
Energy of formation (eV/atom): -0.08
Uncorrected energy (eV per atom): -10.64

Cell lengths 2.721, 3.905, 8.275 Å; angles 90.00, 90.00, 90.00 degrees
Space group Imm2 (No. 44)
One atom of each set of equivalent atoms:
Re (0.000, 0.000, 0.000)
Tc (0.000, 0.000, 0.663)
Ir (0.000, 0.000, 0.332)

=====

8.
The following is a GGA-PBE calculation of a geometry-optimized InGaNO2 structure, from the Alexandria database.

Values from the calculation:
Raw formation energy (eV/atom): -0.19
Uncorrected energy (eV per atom): -4.99

Cell lengths 3.891, 3.891, 3.976 Å; angles 90.00, 90.00, 90.00 degrees
Space group P4/mmm (No. 123)
One atom of each set of equivalent atoms:
In (0.000, 0.000, 0.000)
Ga (0.500, 0.500, 0.500)
N (0.500, 0.500, 0.000)
O (0.000, 0.500, 0.500)

=====

9.
The following is a GGA-PBE calculation of a geometry-optimized Y2Ho3Er6Th structure, from the Alexandria database.

Values from the calculation:
Energy of formation (eV/atom): 0.03
Uncorrected energy (eV per atom): -5.09

Cell lengths 6.119, 10.593, 11.695 Å; angles 90.00, 100.05, 90.00 degrees
Space group C2/m (No. 12)
One atom of each set of equivalent atoms:
Y (0.000, 0.167, 0.000)
Ho (0.000, 0.000, 0.500)
Ho (0.000, 0.333, 0.500)
Er (0.245, 0.500, 0.749)
Er (0.249, 0.335, 0.251)
Th (0.000, 0.500, 0.000)

=====

10.
The following is a GGA-PBE calculation of a geometry-optimized CrNi2AsN structure, from the Alexandria database.

Values from the calculation:
Raw formation energy (eV/atom): -0.07
Uncorrected energy (eV per atom): -6.90

Cell lengths 3.842, 3.842, 3.917 Å; angles 90.00, 90.00, 90.00 degrees
Space group P4/mmm (No. 123)
One atom of each set of equivalent atoms:
Cr (0.000, 0.000, 0.000)
Ni (0.000, 0.500, 0.500)
As (0.500, 0.500, 0.000)
N (0.000, 0.000, 0.500)

=====

11.
The following is a GGA-PBE calculation of a geometry-optimized NiAs2SeN structure, from the Alexandria database.

Values from the calculation:
Offset from the most stable computed form (meV per atom): 0.0
Raw formation energy (eV/atom): 0.91
Uncorrected energy (eV per atom): -4.46

Cell lengths 4.325, 4.325, 4.186 Å; angles 90.00, 90.00, 90.00 degrees
Space group P4/mmm (No. 123)
One atom of each set of equivalent atoms:
Ni (0.000, 0.000, 0.000)
As (0.000, 0.500, 0.500)
Se (0.500, 0.500, 0.000)
N (0.500, 0.500, 0.500)

=====

12.
The following is a GGA-PBE calculation of a geometry-optimized Cs2SmNpSe4 structure, from the Alexandria database.

Values from the calculation:
Raw formation energy (eV/atom): -1.47
Uncorrected energy (eV per atom): -5.63

Cell lengths 7.532, 4.355, 8.750 Å; angles 90.00, 106.75, 90.00 degrees
Space group P2/m (No. 10)
One atom of each set of equivalent atoms:
Cs (0.000, 0.000, 0.000)
Cs (0.500, 0.500, 0.000)
Sm (0.000, 0.500, 0.500)
Np (0.500, 0.000, 0.500)
Se (0.230, 0.000, 0.689)
Se (0.274, 0.500, 0.314)

=====

13.
The following is a GGA-PBE calculation of a geometry-optimized LiLa2Ni2 structure, from the Alexandria database.

Values from the calculation:
Offset from the most stable computed form (meV per atom): 0.0
Energy of formation (eV/atom): -0.24
Uncorrected energy (eV per atom): -4.91

Cell lengths 7.608, 7.608, 3.867 Å; angles 90.00, 90.00, 90.00 degrees
Space group P4/mbm (No. 127)
One atom of each set of equivalent atoms:
Li (0.000, 0.000, 0.000)
La (0.174, 0.326, 0.500)
Ni (0.119, 0.619, 0.000)

=====

14.
The following is a GGA-PBE calculation of a geometry-optimized YHfPt2O structure, from the Alexandria database.

Values from the calculation:
Raw formation energy (eV/atom): -1.21
Uncorrected energy (eV per atom): -7.91

Cell lengths 5.150, 5.150, 3.955 Å; angles 90.00, 90.00, 90.00 degrees
Space group P4/mmm (No. 123)
One atom of each set of equivalent atoms:
Y (0.000, 0.000, 0.000)
Hf (0.500, 0.500, 0.500)
Pt (0.000, 0.500, 0.500)
O (0.500, 0.500, 0.000)

=====

15.
The following is a GGA-PBE calculation of a geometry-optimized YAl2Mo2 structure, from the Alexandria database.

Values from the calculation:
Offset from the most stable computed form (meV per atom): 0.0
Energy of formation (eV/atom): -0.09
Uncorrected energy (eV per atom): -7.21

Cell lengths 7.254, 7.254, 3.394 Å; angles 90.00, 90.00, 90.00 degrees
Space group P4/mbm (No. 127)
One atom of each set of equivalent atoms:
Y (0.000, 0.000, 0.000)
Al (0.123, 0.377, 0.000)
Mo (0.169, 0.669, 0.500)

=====

16.
The following is a GGA-PBE calculation of a geometry-optimized HfV3Co structure, from the Alexandria database.

Values from the calculation:
Offset from the most stable computed form (meV per atom): 1420.2
Energy of formation (eV/atom): 1.98
Uncorrected energy (eV per atom): -6.90

Cell lengths 4.600, 4.600, 4.600 Å; angles 90.00, 90.00, 90.00 degrees
Space group Pm-3m (No. 221)
One atom of each set of equivalent atoms:
Hf (0.000, 0.000, 0.000)
V (0.000, 0.000, 0.500)
Co (0.500, 0.500, 0.500)

=====

17.
The following is a GGA-PBE calculation of a geometry-optimized U2Pd2S7 structure, from the Alexandria database.

Values from the calculation:
Offset from the most stable computed form (meV per atom): 0.0
Raw formation energy (eV/atom): -0.80
Uncorrected energy (eV per atom): -6.42

Cell lengths 12.172, 12.172, 12.172 Å; angles 90.00, 90.00, 90.00 degrees
Space group Fd-3m (No. 227, origin choice 2)
One atom of each set of equivalent atoms:
U (0.000, 0.000, 0.000)
Pd (0.000, 0.000, 0.500)
S (0.098, 0.375, 0.875)
S (0.125, 0.125, 0.125)

=====

18.
The following is a GGA-PBE calculation of a geometry-optimized MgBr2Cl structure, from the Alexandria database.

Values from the calculation:
Offset from the most stable computed form (meV per atom): 624.7
Raw formation energy (eV/atom): -0.37
Uncorrected energy (eV per atom): -2.06

Cell lengths 7.263, 7.263, 7.263 Å; angles 90.00, 90.00, 90.00 degrees
Space group F-43m (No. 216)
One atom of each set of equivalent atoms:
Mg (0.000, 0.000, 0.000)
Br (0.000, 0.000, 0.500)
Br (0.250, 0.250, 0.250)
Cl (0.250, 0.250, 0.750)

=====

19.
The following is a GGA-PBE calculation of a geometry-optimized ErMgCu structure, from the Alexandria database.

Values from the calculation:
Energy of formation (eV/atom): -0.04
Uncorrected energy (eV per atom): -3.45

Cell lengths 6.540, 6.540, 6.540 Å; angles 90.00, 90.00, 90.00 degrees
Space group F-43m (No. 216)
One atom of each set of equivalent atoms:
Er (0.000, 0.000, 0.000)
Mg (0.000, 0.000, 0.500)
Cu (0.250, 0.250, 0.750)

=====

20.
The following is a GGA-PBE calculation of a geometry-optimized DyHoSe2 structure, from the Alexandria database.

Values from the calculation:
Offset from the most stable computed form (meV per atom): 3.8
Raw formation energy (eV/atom): -1.73
Uncorrected energy (eV per atom): -5.77

Cell lengths 3.9899, 3.9899, 13.8486 Å; angles 90.00, 90.00, 120.00 degrees
Space group P6_3/mmc (No. 194)
One atom of each set of equivalent atoms:
Dy (0.3333, 0.6667, 0.2500)
Ho (0.0000, 0.0000, 0.0000)
Se (0.3333, 0.6667, 0.6219)